# Ac2La3Er6 | Alexandria | PBE | optimized geometry
# mass density: 7.74 Mg/m³
# total magnetization: 0.00 μB/f.u.
# calculated formation energy: 0.189 eV per atom
data_Ac2La3Er6
_chemical_formula_sum 'Ac4 La6 Er12'
_cell_length_a 6.2744
_cell_length_b 10.8664
_cell_length_c 11.9762
_cell_angle_alpha 90.00
_cell_angle_beta 99.98
_cell_angle_gamma 90.00
_space_group_name_H-M_alt 'C 1 2/m 1'
_space_group_IT_number 12
loop_
_space_group_symop_operation_xyz
'x,y,z'
'-x,-y,-z'
'-x,y,-z'
'x,-y,z'
'x+1/2,y+1/2,z'
'-x+1/2,-y+1/2,-z'
'-x+1/2,y+1/2,-z'
'x+1/2,-y+1/2,z'
loop_
_atom_site_label
_atom_site_type_symbol
_atom_site_fract_x
_atom_site_fract_y
_atom_site_fract_z
Ac1 Ac 0.0000 0.1670 0.0000
La1 La 0.0000 0.0000 0.5000
La2 La 0.0000 0.3351 0.5000
Er1 Er 0.2456 0.5000 0.7443
Er2 Er 0.2478 0.1660 0.7442

***

# Tb2ScGe2 | Alexandria | PBE | optimized geometry
# mass density: 7.20 Mg/m³
# total magnetization: 0.00 μB/f.u.
# calculated formation energy: -0.774 eV per atom
data_Tb2ScGe2
_chemical_formula_sum 'Tb4 Sc2 Ge4'
_cell_length_a 4.2510
_cell_length_b 6.1371
_cell_length_c 8.9772
_cell_angle_alpha 90.00
_cell_angle_beta 90.00
_cell_angle_gamma 90.00
_space_group_name_H-M_alt 'I m m m'
_space_group_IT_number 71
_space_group_name_Hall '-I 2 2'
loop_
_atom_site_label
_atom_site_type_symbol
_atom_site_fract_x
_atom_site_fract_y
_atom_site_fract_z
Tb1 Tb 0.0000 0.0000 0.2004
Sc1 Sc 0.0000 0.5000 0.0000
Ge1 Ge 0.0000 0.2830 0.5000

***

# HfInAg | Alexandria | PBE | optimized geometry
# mass density: 10.76 Mg/m³
# total magnetization: 0.00 μB/f.u.
# calculated formation energy: -0.036 eV per atom
data_HfInAg
_chemical_formula_sum 'Hf4 In4 Ag4'
_cell_length_a 13.0233
_cell_length_b 3.1762
_cell_length_c 6.1222
_cell_angle_alpha 90.00
_cell_angle_beta 102.01
_cell_angle_gamma 90.00
_space_group_name_H-M_alt 'C 1 2/m 1'
_space_group_IT_number 12
loop_
_space_group_symop_operation_xyz
'x,y,z'
'-x,-y,-z'
'-x,y,-z'
'x,-y,z'
'x+1/2,y+1/2,z'
'-x+1/2,-y+1/2,-z'
'-x+1/2,y+1/2,-z'
'x+1/2,-y+1/2,z'
loop_
_atom_site_label
_atom_site_type_symbol
_atom_site_fract_x
_atom_site_fract_y
_atom_site_fract_z
Hf1 Hf 0.0000 0.0000 0.0000
Hf2 Hf 0.0000 0.0000 0.5000
In1 In 0.1697 0.5000 0.3179
Ag1 Ag 0.1639 0.5000 0.8261

***

# PrThSi | Alexandria | PBE | optimized geometry
# mass density: 7.79 Mg/m³
# uncorrected formation energy: -0.13 eV/atom
# total magnetization: 0.00 μB/f.u.
data_PrThSi
_chemical_formula_sum 'Pr1 Th1 Si1'
_cell_length_a 4.6438
_cell_length_b 4.6438
_cell_length_c 4.5762
_cell_angle_alpha 90.00
_cell_angle_beta 90.00
_cell_angle_gamma 120.00
_space_group_name_H-M_alt 'P 3 m 1'
_space_group_IT_number 156
loop_
_space_group_symop_operation_xyz
'x,y,z'
'-y,x-y,z'
'-x+y,-x,z'
'-y,-x,z'
'-x+y,y,z'
'x,x-y,z'
loop_
_atom_site_label
_atom_site_type_symbol
_atom_site_fract_x
_atom_site_fract_y
_atom_site_fract_z
Pr1 Pr 0.0000 0.0000 0.0000
Th1 Th 0.6667 0.3333 0.4573
Si1 Si 0.3333 0.6667 0.7239

***

# Hf2PaBe | Alexandria | PBE | optimized geometry
# mass density: 12.55 Mg/m³
# total magnetization: 0.00 μB/f.u.
# calculated formation energy: 0.059 eV per atom
data_Hf2PaBe
_chemical_formula_sum 'Hf2 Pa1 Be1'
_cell_length_a 3.1235
_cell_length_b 3.1235
_cell_length_c 8.0958
_cell_angle_alpha 90.00
_cell_angle_beta 90.00
_cell_angle_gamma 90.00
_space_group_name_H-M_alt 'P 4/m m m'
_space_group_IT_number 123
_space_group_name_Hall '-P 4 2'
loop_
_atom_site_label
_atom_site_type_symbol
_atom_site_fract_x
_atom_site_fract_y
_atom_site_fract_z
Hf1 Hf 0.0000 0.0000 0.1975
Pa1 Pa 0.5000 0.5000 0.5000
Be1 Be 0.5000 0.5000 0.0000

***

# PrDyTi | Alexandria | PBE | optimized geometry
# mass density: 6.89 Mg/m³
# total magnetization: 0.00 μB/f.u.
# calculated formation energy: 0.095 eV per atom
data_PrDyTi
_chemical_formula_sum 'Pr2 Dy2 Ti2'
_cell_length_a 3.5951
_cell_length_b 3.5951
_cell_length_c 13.0944
_cell_angle_alpha 90.00
_cell_angle_beta 90.00
_cell_angle_gamma 90.00
_space_group_name_H-M_alt 'P 4/n m m'
_space_group_IT_number 129
loop_
_space_group_symop_operation_xyz
'x,y,z'
'-x,-y,-z'
'-y+1/2,x,z'
'y+1/2,-x,-z'
'-x+1/2,-y+1/2,z'
'x+1/2,y+1/2,-z'
'y,-x+1/2,z'
'-y,x+1/2,-z'
'x+1/2,-y,-z'
'-x+1/2,y,z'
'-y,-x,-z'
'y,x,z'
'-x,y+1/2,-z'
'x,-y+1/2,z'
'y+1/2,x+1/2,-z'
'-y+1/2,-x+1/2,z'
loop_
_atom_site_label
_atom_site_type_symbol
_atom_site_fract_x
_atom_site_fract_y
_atom_site_fract_z
Pr1 Pr 0.2500 0.2500 0.1018
Dy1 Dy 0.2500 0.2500 0.6917
Ti1 Ti 0.2500 0.2500 0.4581

***

# BaZn3Rh | Alexandria | PBE | optimized geometry
# mass density: 6.49 Mg/m³
# total magnetization: 0.00 μB/f.u.
# calculated formation energy: -0.113 eV per atom
data_BaZn3Rh
_chemical_formula_sum 'Ba4 Zn12 Rh4'
_cell_length_a 7.0473
_cell_length_b 13.2616
_cell_length_c 4.7786
_cell_angle_alpha 90.00
_cell_angle_beta 90.00
_cell_angle_gamma 90.00
_space_group_name_H-M_alt 'C m c m'
_space_group_IT_number 63
_space_group_name_Hall '-C 2c 2'
loop_
_atom_site_label
_atom_site_type_symbol
_atom_site_fract_x
_atom_site_fract_y
_atom_site_fract_z
Ba1 Ba 0.0000 0.0897 0.2500
Zn1 Zn 0.0000 0.5000 0.0000
Zn2 Zn 0.1701 0.2481 0.7500
Rh1 Rh 0.0000 0.3282 0.2500

***

# InTcHPd2 | Alexandria | PBE | optimized geometry
# mass density: 10.44 Mg/m³
# energy: -5.381 eV/atom
# total magnetization: 1.00 μB/f.u.
data_InTcHPd2
_chemical_formula_sum 'In1 Tc1 H1 Pd2'
_cell_length_a 4.0294
_cell_length_b 4.0294
_cell_length_c 4.1788
_cell_angle_alpha 90.00
_cell_angle_beta 90.00
_cell_angle_gamma 90.00
_space_group_name_H-M_alt 'P 4/m m m'
_space_group_IT_number 123
_space_group_name_Hall '-P 4 2'
loop_
_atom_site_label
_atom_site_type_symbol
_atom_site_fract_x
_atom_site_fract_y
_atom_site_fract_z
In1 In 0.0000 0.0000 0.0000
Tc1 Tc 0.5000 0.5000 0.0000
H1 H 0.5000 0.5000 0.5000
Pd1 Pd 0.0000 0.5000 0.5000

***

# ZrGa2Ag | Alexandria | PBE | optimized geometry
# mass density: 7.78 Mg/m³
# total magnetization: 0.00 μB/f.u.
# calculated formation energy: -0.248 eV per atom
data_ZrGa2Ag
_chemical_formula_sum 'Zr1 Ga2 Ag1'
_cell_length_a 3.1504
_cell_length_b 3.1504
_cell_length_c 7.2845
_cell_angle_alpha 90.00
_cell_angle_beta 90.00
_cell_angle_gamma 90.00
_space_group_name_H-M_alt 'P 4/m m m'
_space_group_IT_number 123
_space_group_name_Hall '-P 4 2'
loop_
_atom_site_label
_atom_site_type_symbol
_atom_site_fract_x
_atom_site_fract_y
_atom_site_fract_z
Zr1 Zr 0.0000 0.0000 0.0000
Ga1 Ga 0.5000 0.5000 0.2623
Ag1 Ag 0.0000 0.0000 0.5000

***

# Th2NbVN6 | Alexandria | PBE | optimized geometry
# mass density: 8.24 Mg/m³
# uncorrected formation energy: -1.23 eV/atom
# total magnetization: 0.00 μB/f.u.
data_Th2NbVN6
_chemical_formula_sum 'Th2 Nb1 V1 N6'
_cell_length_a 5.4420
_cell_length_b 5.4420
_cell_length_c 4.7099
_cell_angle_alpha 90.00
_cell_angle_beta 90.00
_cell_angle_gamma 90.00
_space_group_name_H-M_alt 'P 4 m m'
_space_group_IT_number 99
loop_
_space_group_symop_operation_xyz
'x,y,z'
'-y,x,z'
'-x,-y,z'
'y,-x,z'
'-x,y,z'
'y,x,z'
'x,-y,z'
'-y,-x,z'
loop_
_atom_site_label
_atom_site_type_symbol
_atom_site_fract_x
_atom_site_fract_y
_atom_site_fract_z
Th1 Th 0.0000 0.5000 0.0000
Nb1 Nb 0.0000 0.0000 0.5708
V1 V 0.5000 0.5000 0.5749
N1 N 0.0000 0.0000 0.1686
N2 N 0.2566 0.2566 0.7055
N3 N 0.5000 0.5000 0.2096

***

# Tb2PmNd6Y3 | Alexandria | PBE | optimized geometry
# mass density: 6.53 Mg/m³
# total magnetization: 0.00 μB/f.u.
# calculated formation energy: 0.010 eV per atom
data_Tb2PmNd6Y3
_chemical_formula_sum 'Tb4 Pm2 Nd12 Y6'
_cell_length_a 6.3069
_cell_length_b 10.9241
_cell_length_c 11.9540
_cell_angle_alpha 90.00
_cell_angle_beta 100.10
_cell_angle_gamma 90.00
_space_group_name_H-M_alt 'C 1 2/m 1'
_space_group_IT_number 12
loop_
_space_group_symop_operation_xyz
'x,y,z'
'-x,-y,-z'
'-x,y,-z'
'x,-y,z'
'x+1/2,y+1/2,z'
'-x+1/2,-y+1/2,-z'
'-x+1/2,y+1/2,-z'
'x+1/2,-y+1/2,z'
loop_
_atom_site_label
_atom_site_type_symbol
_atom_site_fract_x
_atom_site_fract_y
_atom_site_fract_z
Tb1 Tb 0.0000 0.1666 0.0000
Pm1 Pm 0.0000 0.5000 0.0000
Nd1 Nd 0.2492 0.1669 0.7495
Nd2 Nd 0.2501 0.0000 0.2504
Y1 Y 0.0000 0.0000 0.5000
Y2 Y 0.0000 0.3332 0.5000

***

# CaZrP2H | Alexandria | PBE | optimized geometry
# mass density: 4.10 Mg/m³
# energy: -5.125 eV/atom
# total magnetization: 0.40 μB/f.u.
data_CaZrP2H
_chemical_formula_sum 'Ca1 Zr1 P2 H1'
_cell_length_a 4.5864
_cell_length_b 4.5864
_cell_length_c 3.7432
_cell_angle_alpha 90.00
_cell_angle_beta 90.00
_cell_angle_gamma 90.00
_space_group_name_H-M_alt 'P 4/m m m'
_space_group_IT_number 123
_space_group_name_Hall '-P 4 2'
loop_
_atom_site_label
_atom_site_type_symbol
_atom_site_fract_x
_atom_site_fract_y
_atom_site_fract_z
Ca1 Ca 0.0000 0.0000 0.0000
Zr1 Zr 0.5000 0.5000 0.0000
P1 P 0.0000 0.5000 0.5000
H1 H 0.0000 0.0000 0.5000